An optimized crystal structure of CsLa3Te4. Source: Alexandria via LeMat-Bulk, functional PBE-GGA.

The structure belongs to space group P6_3/mmc (No. 194); the cell edges are 4.6662, 4.6662 and 32.7577 Å and the angles 90.00°, 90.00° and 120.00°. Symmetry generates all atoms from Cs at (0.3333, 0.6667, 0.2500), La at (0.0000, 0.0000, 0.0000), La at (0.3333, 0.6667, 0.6122), Te at (0.0000, 0.0000, 0.1668) and Te at (0.3333, 0.6667, 0.0562).

Its formation energy (no corrections) is -1.54 eV/atom. The calculation puts the density of states at the Fermi level at 8.52 states/eV/cell. The volume comes out at 617.69 Å³/cell.